#i
Here is an optimized crystal structure of AlSnW2O8 from Alexandria. Energies are from GGA+U.

Lattice parameters (Å, degrees): 4.9592 5.4480 6.2539 112.87 102.16 95.19
Last column: nearest neighbours and their distance in Å.
Atoms (fractional coordinates):
O 0.1216 0.3693 0.5007  1 W 1.87
O 0.7609 0.0408 0.0918  1 Al 1.81
O 0.6534 0.7506 0.5899  1 W 1.94
O 0.7397 0.2833 0.7390  1 Al 1.83, 1 W 2.00
O 0.9220 0.6608 0.2280  2 W 1.93-2.09
O 0.4260 0.8932 0.2783  2 W 1.89-2.08
O 0.3534 0.3569 0.1100  1 Al 1.82, 1 W 1.86
O 0.2072 0.9564 0.6514  1 Al 1.87
W 0.8133 0.0227 0.4376  3 O 1.89-2.09
W 0.2740 0.6023 0.3832  5 O 1.86-2.08
Al 0.5340 0.1549 0.8981  4 O 1.81-1.87
Sn 0.9945 0.7303 0.8959  4 O 2.25-2.36

Computed properties:
**Space-group type**: P1, No. 1
**Crystal system**: triclinic



#ii
Here is an optimized crystal structure of AlSnW2O8 from Alexandria. Energies are from GGA+U.

Lattice parameters (Å, degrees): 5.6719 5.1805 10.5474 61.84 90.00 90.00
Last column: nearest neighbours and their distance in Å.
Atoms (fractional coordinates):
O 0.1190 0.7909 0.6199  1 Sn 2.04, 2 W 2.06-2.08
O 0.8810 0.2091 0.3801  1 Sn 2.04, 2 W 2.06-2.08
O 0.3901 0.2640 0.6331  1 W 1.98, 1 Al 2.05, 1 Sn 2.11
O 0.6099 0.2640 0.1331  1 W 1.98, 1 Al 2.05, 1 Sn 2.11
O 0.6324 0.7987 0.6406  1 Al 1.89, 1 W 2.03, 1 Sn 2.08
O 0.1232 0.2983 0.1152  1 Al 1.95, 2 W 2.06-2.10
O 0.8768 0.2983 0.6152  1 Al 1.95, 2 W 2.06-2.10
O 0.6099 0.7360 0.3669  1 W 1.98, 1 Al 2.05, 1 Sn 2.11
O 0.6324 0.2013 0.8594  1 Al 1.89, 1 W 2.03, 1 Sn 2.08
O 0.8768 0.7017 0.8848  1 Al 1.95, 2 W 2.06-2.10
O 0.3676 0.7987 0.1406  1 Al 1.89, 1 W 2.03, 1 Sn 2.08
O 0.3901 0.7360 0.8669  1 W 1.98, 1 Al 2.05, 1 Sn 2.11
O 0.1232 0.7017 0.3848  1 Al 1.95, 2 W 2.06-2.10
O 0.1190 0.2091 0.8801  1 Sn 2.04, 2 W 2.06-2.08
O 0.8810 0.7909 0.1199  1 Sn 2.04, 2 W 2.06-2.08
O 0.3676 0.2013 0.3594  1 Al 1.89, 1 W 2.03, 1 Sn 2.08
Sn 0.3665 0.5000 0.7500  6 O 2.04-2.11
Sn 0.6335 0.5000 0.2500  6 O 2.04-2.11
W 0.1510 0.7556 0.9989  6 O 1.98-2.10
W 0.8490 0.7556 0.4989  6 O 1.98-2.10
W 0.1510 0.2444 0.5011  6 O 1.98-2.10
W 0.8490 0.2444 0.0011  6 O 1.98-2.10
Al 0.6626 0.0000 0.7500  6 O 1.89-2.05
Al 0.3374 0.0000 0.2500  6 O 1.89-2.05

Computed properties:
**Space-group type**: P2/c, No. 13
**Crystal system**: monoclinic



Going by the computed energies, the most stable comes first: #ii, #i.